First-principles (GGA-PBE) data for crystalline LiMg2Pt2 at its relaxed geometry, as listed in Alexandria.

* D(E_F): 2.59 states/eV/cell
* mass density: 8.56 g/cm3
* symmetry: P4/mbm (127)
* DFT formation energy: -699 meV per atom

Unit cell a=7.687 b=7.687 c=2.927 alpha=90.00 beta=90.00 gamma=90.00
Fractional positions:
1 Mg 0.852 0.352 0.500
2 Mg 0.352 0.148 0.500
3 Pt 0.851 0.649 0.000
4 Mg 0.648 0.852 0.500
5 Li 0.000 0.000 0.000
6 Pt 0.351 0.851 0.000
7 Pt 0.649 0.149 0.000
8 Mg 0.148 0.648 0.500
9 Pt 0.149 0.351 0.000
10 Li 0.500 0.500 0.000



First-principles (GGA-PBE) data for crystalline LiMg5Pt4 at its relaxed geometry, as listed in Alexandria.

* D(E_F): 5.82 states/eV/cell
* mass density: 9.10 g/cm3
* symmetry: P4/mmm (123)
* DFT formation energy: -709 meV per atom

Unit cell a=3.201 b=3.201 c=16.189 alpha=90.00 beta=90.00 gamma=90.00
Fractional positions:
1 Mg 0.500 0.500 0.500
2 Li 0.000 0.000 0.000
3 Mg 0.500 0.500 0.884
4 Mg 0.500 0.500 0.693
5 Pt 0.000 0.000 0.596
6 Pt 0.000 0.000 0.404
7 Pt 0.000 0.000 0.209
8 Mg 0.500 0.500 0.307
9 Mg 0.500 0.500 0.116
10 Pt 0.000 0.000 0.791



First-principles (GGA-PBE) data for crystalline Li2MgPt at its relaxed geometry, as listed in Alexandria.

* D(E_F): 1.85 states/eV/cell
* mass density: 6.02 g/cm3
* symmetry: Immm (71)
* DFT formation energy: -476 meV per atom

Unit cell a=5.446 b=5.446 c=5.446 alpha=147.97 beta=130.76 gamma=59.95
Fractional positions:
1 Li 0.024 0.024 0.000
2 Pt 0.250 0.750 0.500
3 Mg 0.750 0.250 0.500
4 Li 0.476 0.476 0.000



Repeat the second record exactly.
First-principles (GGA-PBE) data for crystalline LiMg5Pt4 at its relaxed geometry, as listed in Alexandria.

* D(E_F): 5.82 states/eV/cell
* mass density: 9.10 g/cm3
* symmetry: P4/mmm (123)
* DFT formation energy: -709 meV per atom

Unit cell a=3.201 b=3.201 c=16.189 alpha=90.00 beta=90.00 gamma=90.00
Fractional positions:
1 Mg 0.500 0.500 0.500
2 Li 0.000 0.000 0.000
3 Mg 0.500 0.500 0.884
4 Mg 0.500 0.500 0.693
5 Pt 0.000 0.000 0.596
6 Pt 0.000 0.000 0.404
7 Pt 0.000 0.000 0.209
8 Mg 0.500 0.500 0.307
9 Mg 0.500 0.500 0.116
10 Pt 0.000 0.000 0.791



What did the second record say?
First-principles (GGA-PBE) data for crystalline LiMg5Pt4 at its relaxed geometry, as listed in Alexandria.

* D(E_F): 5.82 states/eV/cell
* mass density: 9.10 g/cm3
* symmetry: P4/mmm (123)
* DFT formation energy: -709 meV per atom

Unit cell a=3.201 b=3.201 c=16.189 alpha=90.00 beta=90.00 gamma=90.00
Fractional positions:
1 Mg 0.500 0.500 0.500
2 Li 0.000 0.000 0.000
3 Mg 0.500 0.500 0.884
4 Mg 0.500 0.500 0.693
5 Pt 0.000 0.000 0.596
6 Pt 0.000 0.000 0.404
7 Pt 0.000 0.000 0.209
8 Mg 0.500 0.500 0.307
9 Mg 0.500 0.500 0.116
10 Pt 0.000 0.000 0.791



Copy entry 2 word for word.
First-principles (GGA-PBE) data for crystalline LiMg5Pt4 at its relaxed geometry, as listed in Alexandria.

* D(E_F): 5.82 states/eV/cell
* mass density: 9.10 g/cm3
* symmetry: P4/mmm (123)
* DFT formation energy: -709 meV per atom

Unit cell a=3.201 b=3.201 c=16.189 alpha=90.00 beta=90.00 gamma=90.00
Fractional positions:
1 Mg 0.500 0.500 0.500
2 Li 0.000 0.000 0.000
3 Mg 0.500 0.500 0.884
4 Mg 0.500 0.500 0.693
5 Pt 0.000 0.000 0.596
6 Pt 0.000 0.000 0.404
7 Pt 0.000 0.000 0.209
8 Mg 0.500 0.500 0.307
9 Mg 0.500 0.500 0.116
10 Pt 0.000 0.000 0.791



What did the second record say?
First-principles (GGA-PBE) data for crystalline LiMg5Pt4 at its relaxed geometry, as listed in Alexandria.

* D(E_F): 5.82 states/eV/cell
* mass density: 9.10 g/cm3
* symmetry: P4/mmm (123)
* DFT formation energy: -709 meV per atom

Unit cell a=3.201 b=3.201 c=16.189 alpha=90.00 beta=90.00 gamma=90.00
Fractional positions:
1 Mg 0.500 0.500 0.500
2 Li 0.000 0.000 0.000
3 Mg 0.500 0.500 0.884
4 Mg 0.500 0.500 0.693
5 Pt 0.000 0.000 0.596
6 Pt 0.000 0.000 0.404
7 Pt 0.000 0.000 0.209
8 Mg 0.500 0.500 0.307
9 Mg 0.500 0.500 0.116
10 Pt 0.000 0.000 0.791